[1]
First-principles (PBE) data for a relaxed Sr2CdGa2 crystal, as listed in Alexandria.

Values from the calculation:
**Formation energy from the elements**: -0.396 eV per atom
**Fermi-level density of states**: 4.03 states/eV/f.u.
**Magnetic moment**: 0.0 μB per cell
**E_tot**: -2.462 eV/atom
**Volume**: 143.65 Å³/f.u.

abc: 4.8476 6.2809 10.5142
angles: 83.78 76.67 67.30
Last column: nearest neighbours and their distance in Å.
Positions (direct):
Cd (0.7733, 0.0991, 0.3544)  4 Ga 2.84-3.08
Cd (0.2267, 0.9009, 0.6456)  4 Ga 2.84-3.08
Ga (0.0148, 0.8658, 0.1047)  1 Ga 2.62, 1 Cd 2.92
Ga (0.1300, 0.2984, 0.4416)  1 Ga 2.65, 2 Cd 2.84
Ga (0.9852, 0.1342, 0.8953)  1 Ga 2.62, 1 Cd 2.92
Ga (0.8700, 0.7016, 0.5584)  1 Ga 2.65, 2 Cd 2.84
Sr (0.5129, 0.3017, 0.6724)  4 Cd 3.37-3.48, 7 Ga 3.38-3.69
Sr (0.4871, 0.6983, 0.3276)  4 Cd 3.37-3.48, 7 Ga 3.38-3.69
Sr (0.6928, 0.7229, 0.8915)  6 Ga 3.38-3.41, 2 Cd 3.63
Sr (0.3072, 0.2771, 0.1085)  6 Ga 3.38-3.41, 2 Cd 3.63

***

[2]
First-principles (PBE) data for a relaxed SrCdGa2 crystal, as listed in Alexandria.

Values from the calculation:
**Formation energy from the elements**: -0.381 eV per atom
**Fermi-level density of states**: 2.19 states/eV/f.u.
**Magnetic moment**: 0.0 μB per cell
**E_tot**: -2.544 eV/atom
**Volume**: 99.89 Å³/f.u.

abc: 4.4724 11.8423 15.0883
angles: 90.00 90.00 90.00
Last column: nearest neighbours and their distance in Å.
Positions (direct):
Ga (0.2500, 0.2408, 0.2839)  2 Ga 2.56-2.58, 2 Cd 2.81
Ga (0.2500, 0.0407, 0.0221)  3 Ga 2.52
Ga (0.7500, 0.7408, 0.2161)  2 Ga 2.56-2.58, 2 Cd 2.81
Ga (0.7500, 0.7813, 0.8865)  2 Ga 2.52-2.58, 1 Cd 2.78
Ga (0.7500, 0.5407, 0.4779)  3 Ga 2.52
Ga (0.7500, 0.7187, 0.3865)  2 Ga 2.52-2.58, 1 Cd 2.78
Ga (0.7500, 0.7592, 0.7161)  2 Ga 2.56-2.58, 2 Cd 2.81
Ga (0.2500, 0.2592, 0.7839)  2 Ga 2.56-2.58, 2 Cd 2.81
Ga (0.7500, 0.9593, 0.9779)  3 Ga 2.52
Ga (0.2500, 0.4593, 0.5221)  3 Ga 2.52
Ga (0.2500, 0.4462, 0.8684)  1 Ga 2.56, 3 Cd 2.82
Ga (0.7500, 0.9462, 0.6316)  1 Ga 2.56, 3 Cd 2.82
Ga (0.2500, 0.2187, 0.1135)  2 Ga 2.52-2.58, 1 Cd 2.78
Ga (0.7500, 0.5538, 0.1316)  1 Ga 2.56, 3 Cd 2.82
Ga (0.2500, 0.0538, 0.3684)  1 Ga 2.56, 3 Cd 2.82
Ga (0.2500, 0.2813, 0.6135)  2 Ga 2.52-2.58, 1 Cd 2.78
Cd (0.2500, 0.0569, 0.5585)  4 Ga 2.78-2.87
Cd (0.7500, 0.3305, 0.1961)  5 Ga 2.81-2.88
Cd (0.7500, 0.5569, 0.9415)  4 Ga 2.78-2.87
Cd (0.7500, 0.1695, 0.6961)  5 Ga 2.81-2.88
Cd (0.2500, 0.8305, 0.3039)  5 Ga 2.81-2.88
Cd (0.2500, 0.4431, 0.0585)  4 Ga 2.78-2.87
Cd (0.7500, 0.9431, 0.4415)  4 Ga 2.78-2.87
Cd (0.2500, 0.6695, 0.8039)  5 Ga 2.81-2.88
Sr (0.7500, 0.4723, 0.7000)  10 Ga 3.40-3.60, 4 Cd 3.59-3.78
Sr (0.7500, 0.2465, 0.9461)  9 Ga 3.32-3.50, 3 Cd 3.65-3.68
Sr (0.2500, 0.7465, 0.5539)  9 Ga 3.32-3.50, 3 Cd 3.65-3.68
Sr (0.2500, 0.9723, 0.8000)  10 Ga 3.40-3.60, 4 Cd 3.59-3.78
Sr (0.2500, 0.7535, 0.0539)  9 Ga 3.32-3.50, 3 Cd 3.65-3.68
Sr (0.2500, 0.5277, 0.3000)  10 Ga 3.40-3.60, 4 Cd 3.59-3.78
Sr (0.7500, 0.2535, 0.4461)  9 Ga 3.32-3.50, 3 Cd 3.65-3.68
Sr (0.7500, 0.0277, 0.2000)  10 Ga 3.40-3.60, 4 Cd 3.59-3.78

***

[3]
First-principles (PBE) data for a relaxed Sr2CdGa2 crystal, as listed in Alexandria.

Values from the calculation:
**Formation energy from the elements**: -0.188 eV per atom
**Fermi-level density of states**: 4.74 states/eV/f.u.
**Magnetic moment**: 0.0 μB per cell
**E_tot**: -2.254 eV/atom
**Volume**: 152.82 Å³/f.u.

abc: 3.9181 3.9181 10.3332
angles: 79.07 79.07 90.00
Last column: nearest neighbours and their distance in Å.
Positions (direct):
Cd (0.0000, 0.0000, 0.0000)  8 Sr 3.49
Sr (0.3934, 0.3934, 0.2131)  4 Ga 3.46, 4 Cd 3.49
Sr (0.6066, 0.6066, 0.7869)  4 Ga 3.46, 4 Cd 3.49
Ga (0.7500, 0.2500, 0.5000)  4 Ga 2.77
Ga (0.2500, 0.7500, 0.5000)  4 Ga 2.77

***

[4]
First-principles (PBE) data for a relaxed Sr4Cd3Ga crystal, as listed in Alexandria.

Values from the calculation:
**Formation energy from the elements**: -0.340 eV per atom
**Fermi-level density of states**: 5.80 states/eV/f.u.
**Magnetic moment**: 0.0 μB per cell
**E_tot**: -1.903 eV/atom
**Volume**: 259.35 Å³/f.u.

abc: 3.9847 3.9847 16.3337
angles: 90.00 90.00 90.00
Last column: nearest neighbours and their distance in Å.
Positions (direct):
Sr (0.0000, 0.0000, 0.8845)  4 Ga 3.39, 4 Cd 3.51, 1 Sr 3.77
Sr (0.0000, 0.0000, 0.3713)  8 Cd 3.50-3.51
Sr (0.0000, 0.0000, 0.1155)  4 Ga 3.39, 4 Cd 3.51, 1 Sr 3.77
Sr (0.0000, 0.0000, 0.6287)  8 Cd 3.50-3.51
Cd (0.5000, 0.5000, 0.2439)  8 Sr 3.50-3.51
Cd (0.5000, 0.5000, 0.5000)  8 Sr 3.51
Cd (0.5000, 0.5000, 0.7561)  8 Sr 3.50-3.51
Ga (0.5000, 0.5000, 0.0000)  8 Sr 3.39

***

[5]
First-principles (PBE) data for a relaxed Sr3Cd2Ga9 crystal, as listed in Alexandria.

Values from the calculation:
**Formation energy from the elements**: -0.361 eV per atom
**Fermi-level density of states**: 5.94 states/eV/f.u.
**Magnetic moment**: 0.0 μB per cell
**E_tot**: -2.798 eV/atom
**Volume**: 317.75 Å³/f.u.

abc: 4.5051 8.8636 8.8636
angles: 70.90 75.28 75.28
Last column: nearest neighbours and their distance in Å.
Positions (direct):
Ga (0.3346, 0.2931, 0.0377)  4 Ga 2.63-2.73, 1 Cd 2.83
Ga (0.8480, 0.8840, 0.4199)  3 Ga 2.68-2.73
Ga (0.1520, 0.5801, 0.1160)  3 Ga 2.68-2.73
Ga (0.6654, 0.7069, 0.9623)  4 Ga 2.63-2.73, 1 Cd 2.83
Ga (0.1520, 0.1160, 0.5801)  3 Ga 2.68-2.73
Ga (0.3346, 0.0377, 0.2931)  4 Ga 2.63-2.73, 1 Cd 2.83
Ga (0.6654, 0.9623, 0.7069)  4 Ga 2.63-2.73, 1 Cd 2.83
Ga (0.8480, 0.4199, 0.8840)  3 Ga 2.68-2.73
Ga (0.0000, 0.5000, 0.5000)  4 Cd 3.10, 4 Ga 3.17, 4 Sr 3.43
Sr (0.0000, 0.0000, 0.0000)  12 Ga 3.46, 4 Cd 3.76
Sr (0.3114, 0.6886, 0.6886)  12 Ga 3.29-3.52, 2 Cd 3.35
Sr (0.6886, 0.3114, 0.3114)  12 Ga 3.29-3.52, 2 Cd 3.35
Cd (0.5000, 0.2926, 0.7074)  8 Ga 2.83-3.10
Cd (0.5000, 0.7074, 0.2926)  8 Ga 2.83-3.10

***

[6]
First-principles (PBE) data for a relaxed SrCd11Ga crystal, as listed in Alexandria.

Values from the calculation:
**Formation energy from the elements**: -0.109 eV per atom
**Fermi-level density of states**: 3.53 states/eV/f.u.
**Magnetic moment**: 0.0 μB per cell
**E_tot**: -1.246 eV/atom
**Volume**: 304.92 Å³/f.u.

abc: 6.0304 7.7005 7.7077
angles: 81.49 66.97 67.77
Last column: nearest neighbours and their distance in Å.
Positions (direct):
Cd (0.7121, 0.7815, 0.7852)  1 Ga 2.91, 7 Cd 2.96-3.22
Cd (0.2879, 0.2185, 0.2148)  1 Ga 2.91, 7 Cd 2.96-3.22
Cd (0.3550, 0.6457, 0.6479)  7 Cd 2.95-3.27, 1 Ga 3.10
Cd (0.0030, 0.6457, 0.3521)  7 Cd 2.95-3.27, 1 Ga 3.10
Cd (0.4973, 0.7815, 0.2148)  1 Ga 2.91, 7 Cd 2.96-3.22
Cd (0.0000, 0.0000, 0.5000)  10 Cd 2.96-3.15
Cd (0.6450, 0.3543, 0.3521)  7 Cd 2.95-3.27, 1 Ga 3.10
Cd (0.5027, 0.2185, 0.7852)  1 Ga 2.91, 7 Cd 2.96-3.22
Cd (0.5000, 0.0000, 0.5000)  10 Cd 2.96-3.15
Cd (0.0000, 0.5000, 0.0000)  8 Cd 2.97-3.09, 2 Ga 3.02
Cd (0.9970, 0.3543, 0.6479)  7 Cd 2.95-3.27, 1 Ga 3.10
Sr (0.0000, 0.0000, 0.0000)  18 Cd 3.55-3.85, 2 Ga 3.89
Ga (0.5000, 0.5000, 0.0000)  10 Cd 2.91-3.10

***

[7]
First-principles (PBE) data for a relaxed SrCdGa crystal, as listed in Alexandria.

Values from the calculation:
**Formation energy from the elements**: -0.412 eV per atom
**Fermi-level density of states**: 1.45 states/eV/f.u.
**Magnetic moment**: 0.0 μB per cell
**E_tot**: -2.286 eV/atom
**Volume**: 80.39 Å³/f.u.

abc: 4.8620 6.2496 6.2419
angles: 83.87 112.91 112.84
Last column: nearest neighbours and their distance in Å.
Positions (direct):
Sr (0.7473, 0.7034, 0.7906)  6 Ga 3.35-3.63, 6 Cd 3.37-3.62
Sr (0.2527, 0.2966, 0.2094)  6 Ga 3.35-3.63, 6 Cd 3.37-3.62
Ga (0.5463, 0.8946, 0.1988)  1 Ga 2.64, 2 Cd 2.83-2.84
Ga (0.4537, 0.1054, 0.8012)  1 Ga 2.64, 2 Cd 2.83-2.84
Cd (0.9383, 0.2656, 0.6121)  3 Ga 2.83-3.11, 1 Cd 3.05
Cd (0.0617, 0.7344, 0.3879)  3 Ga 2.83-3.11, 1 Cd 3.05

***

[8]
First-principles (PBE) data for a relaxed SrCd3Ga crystal, as listed in Alexandria.

Values from the calculation:
**Formation energy from the elements**: 0.714 eV per atom
**Fermi-level density of states**: 9.97 states/eV/f.u.
**Magnetic moment**: 0.0 μB per cell
**E_tot**: -0.777 eV/atom
**Relative energy among the computed polymorphs**: 5.03 eV per formula unit
**Volume**: 243.39 Å³/f.u.

abc: 6.2436 6.2436 6.2436
angles: 90.00 90.00 90.00
Last column: nearest neighbours and their distance in Å.
Positions (direct):
Ga (0.5000, 0.5000, 0.5000)  12 Cd 4.41
Cd (0.0000, 0.5000, 0.0000)  2 Sr 3.12
Cd (0.0000, 0.0000, 0.5000)  2 Sr 3.12
Cd (0.5000, 0.0000, 0.0000)  2 Sr 3.12
Sr (0.0000, 0.0000, 0.0000)  6 Cd 3.12

***

[9]
First-principles (PBE) data for a relaxed SrCd12Ga4 crystal, as listed in Alexandria.

Values from the calculation:
**Formation energy from the elements**: 0.086 eV per atom
**Fermi-level density of states**: 13.08 states/eV/f.u.
**Magnetic moment**: 0.0 μB per cell
**E_tot**: -1.371 eV/atom
**Volume**: 450.24 Å³/f.u.

abc: 8.3629 8.3629 8.3629
angles: 109.47 109.47 109.47
Last column: nearest neighbours and their distance in Å.
Positions (direct):
Cd (0.6515, 0.4949, 0.8434)  2 Ga 2.75, 2 Cd 2.93-3.02
Cd (0.1566, 0.6515, 0.8082)  2 Ga 2.75, 2 Cd 2.93-3.02
Cd (0.8434, 0.6515, 0.4949)  2 Ga 2.75, 2 Cd 2.93-3.02
Cd (0.1566, 0.3485, 0.5051)  2 Ga 2.75, 2 Cd 2.93-3.02
Cd (0.6515, 0.8082, 0.1566)  2 Ga 2.75, 2 Cd 2.93-3.02
Cd (0.4949, 0.8434, 0.6515)  2 Ga 2.75, 2 Cd 2.93-3.02
Cd (0.3485, 0.5051, 0.1566)  2 Ga 2.75, 2 Cd 2.93-3.02
Cd (0.3485, 0.1918, 0.8434)  2 Ga 2.75, 2 Cd 2.93-3.02
Cd (0.5051, 0.1566, 0.3485)  2 Ga 2.75, 2 Cd 2.93-3.02
Cd (0.1918, 0.8434, 0.3485)  2 Ga 2.75, 2 Cd 2.93-3.02
Cd (0.8082, 0.1566, 0.6515)  2 Ga 2.75, 2 Cd 2.93-3.02
Cd (0.8434, 0.3485, 0.1918)  2 Ga 2.75, 2 Cd 2.93-3.02
Ga (0.0000, 0.0000, 0.5000)  6 Cd 2.75
Ga (0.5000, 0.5000, 0.5000)  6 Cd 2.75
Ga (0.0000, 0.5000, 0.0000)  6 Cd 2.75
Ga (0.5000, 0.0000, 0.0000)  6 Cd 2.75
Sr (0.0000, 0.0000, 0.0000)  12 Cd 3.69

***

[10]
First-principles (PBE) data for a relaxed Sr6Cd5Ga crystal, as listed in Alexandria.

Values from the calculation:
**Formation energy from the elements**: -0.336 eV per atom
**Fermi-level density of states**: 9.26 states/eV/f.u.
**Magnetic moment**: 0.0 μB per cell
**E_tot**: -1.811 eV/atom
**Volume**: 394.06 Å³/f.u.

abc: 5.6918 8.1139 9.8731
angles: 114.27 106.87 90.00
Last column: nearest neighbours and their distance in Å.
Positions (direct):
Cd (0.3300, 0.8301, 0.6602)  8 Sr 3.48-3.51
Cd (0.3350, 0.3345, 0.6694)  8 Sr 3.51-3.54
Cd (0.6650, 0.6655, 0.3306)  8 Sr 3.51-3.54
Cd (0.6700, 0.1699, 0.3398)  8 Sr 3.48-3.51
Cd (0.0000, 0.5000, 0.0000)  8 Sr 3.47-3.53
Sr (0.8363, 0.5904, 0.6726)  1 Ga 3.43, 7 Cd 3.47-3.54
Sr (0.4999, 0.7579, 0.0000)  2 Ga 3.46, 6 Cd 3.50-3.53
Sr (0.1637, 0.4096, 0.3273)  1 Ga 3.43, 7 Cd 3.47-3.54
Sr (0.8363, 0.0821, 0.6727)  1 Ga 3.43, 7 Cd 3.47-3.53
Sr (0.1637, 0.9179, 0.3273)  1 Ga 3.43, 7 Cd 3.47-3.53
Sr (0.5001, 0.2421, 0.0000)  2 Ga 3.46, 6 Cd 3.50-3.53
Ga (0.0000, 0.0000, 0.0000)  8 Sr 3.43-3.46

***

[11]
First-principles (PBE) data for a relaxed SrCd4Ga crystal, as listed in Alexandria.

Values from the calculation:
**Formation energy from the elements**: -0.222 eV per atom
**Fermi-level density of states**: 2.37 states/eV/f.u.
**Magnetic moment**: 0.0 μB per cell
**E_tot**: -1.617 eV/atom
**Relative energy among the computed polymorphs**: 0.00 eV per formula unit
**Volume**: 149.34 Å³/f.u.

abc: 4.5503 7.5834 8.9498
angles: 90.00 104.73 90.00
Last column: nearest neighbours and their distance in Å.
Positions (direct):
Cd (0.6758, 0.9435, 0.3515)  3 Ga 2.79-2.90, 2 Cd 2.93-3.07
Cd (0.6758, 0.5565, 0.3515)  3 Ga 2.79-2.90, 2 Cd 2.93-3.07
Cd (0.5000, 0.0000, 0.0000)  6 Cd 3.07-3.21
Cd (0.3242, 0.4435, 0.6485)  3 Ga 2.79-2.90, 2 Cd 2.93-3.07
Cd (0.0713, 0.7500, 0.1426)  1 Ga 2.84
Cd (0.3242, 0.0565, 0.6485)  3 Ga 2.79-2.90, 2 Cd 2.93-3.07
Cd (0.9287, 0.2500, 0.8574)  1 Ga 2.84
Cd (0.5000, 0.5000, 0.0000)  6 Cd 3.07-3.21
Sr (0.1239, 0.2500, 0.2477)  2 Ga 3.33, 9 Cd 3.37-3.66
Sr (0.8761, 0.7500, 0.7523)  2 Ga 3.33, 9 Cd 3.37-3.66
Ga (0.7644, 0.2500, 0.5288)  7 Cd 2.79-2.90
Ga (0.2356, 0.7500, 0.4712)  7 Cd 2.79-2.90

***

[12]
First-principles (PBE) data for a relaxed SrCd3Ga crystal, as listed in Alexandria.

Values from the calculation:
**Formation energy from the elements**: -0.233 eV per atom
**Fermi-level density of states**: 2.01 states/eV/f.u.
**Magnetic moment**: 0.0 μB per cell
**E_tot**: -1.724 eV/atom
**Relative energy among the computed polymorphs**: 0.29 eV per formula unit
**Volume**: 127.05 Å³/f.u.

abc: 6.3512 8.8428 9.5490
angles: 108.63 90.00 90.00
Last column: nearest neighbours and their distance in Å.
Positions (direct):
Ga (0.0347, 0.7566, 0.5656)  5 Cd 2.78-2.92
Ga (0.5347, 0.7434, 0.9344)  5 Cd 2.78-2.92
Ga (0.9653, 0.2434, 0.4344)  5 Cd 2.78-2.92
Ga (0.4653, 0.2566, 0.0656)  5 Cd 2.78-2.92
Cd (0.9311, 0.7441, 0.0578)  1 Ga 2.78, 4 Cd 2.96-3.09
Cd (0.6769, 0.4201, 0.8839)  2 Ga 2.89-2.92, 4 Cd 3.02-3.21
Cd (0.3231, 0.5799, 0.1161)  2 Ga 2.89-2.92, 4 Cd 3.02-3.21
Cd (0.8231, 0.9201, 0.3839)  2 Ga 2.89-2.92, 4 Cd 3.02-3.21
Cd (0.4311, 0.7559, 0.4422)  1 Ga 2.78, 4 Cd 2.96-3.09
Cd (0.6718, 0.5869, 0.6308)  2 Ga 2.92, 3 Cd 2.96-3.21
Cd (0.3282, 0.4131, 0.3692)  2 Ga 2.92, 3 Cd 2.96-3.21
Cd (0.1718, 0.9131, 0.8692)  2 Ga 2.92, 3 Cd 2.96-3.21
Cd (0.8282, 0.0869, 0.1308)  2 Ga 2.92, 3 Cd 2.96-3.21
Cd (0.1769, 0.0799, 0.6161)  2 Ga 2.89-2.92, 4 Cd 3.02-3.21
Cd (0.0689, 0.2559, 0.9422)  1 Ga 2.78, 4 Cd 2.96-3.09
Cd (0.5689, 0.2441, 0.5578)  1 Ga 2.78, 4 Cd 2.96-3.09
Sr (0.6689, 0.0015, 0.7642)  3 Ga 3.30-3.33, 11 Cd 3.41-3.68
Sr (0.8311, 0.5015, 0.2642)  3 Ga 3.30-3.33, 11 Cd 3.41-3.68
Sr (0.1689, 0.4985, 0.7358)  3 Ga 3.30-3.33, 11 Cd 3.41-3.68
Sr (0.3311, 0.9985, 0.2358)  3 Ga 3.30-3.33, 11 Cd 3.41-3.68